# NbCrB, relaxed, DFT PBE-GGA
data_NbCrB
_chemical_formula_sum 'Nb4 Cr4 B4'
_symmetry_space_group_name_H-M 'P 1'
_symmetry_Int_Tables_number 1
_cell_length_a 6.626
_cell_length_b 3.063
_cell_length_c 8.515
_cell_angle_alpha 90.00
_cell_angle_beta 124.39
_cell_angle_gamma 90.00
loop_
_symmetry_equiv_pos_as_xyz
'x,y,z'
loop_
_atom_site_label
_atom_site_fract_x
_atom_site_fract_y
_atom_site_fract_z
Cr1 0.036 0.000 0.674
Cr2 0.036 0.500 0.174
Cr3 0.793 0.000 0.261
Cr4 0.793 0.500 0.761
Nb1 0.317 0.000 0.502
Nb2 0.317 0.500 0.002
Nb3 0.608 0.000 0.905
Nb4 0.608 0.500 0.405
B1 0.022 0.000 0.967
B2 0.022 0.500 0.467
B3 0.286 0.000 0.205
B4 0.286 0.500 0.705
# Calculated formation energy = -280.1 meV/atom

***

# Si2HgHRh, relaxed, DFT PBE-GGA
data_Si2HgHRh
_chemical_formula_sum 'Si2 Hg1 H1 Rh1'
_symmetry_space_group_name_H-M 'P 1'
_symmetry_Int_Tables_number 1
_cell_length_a 4.988
_cell_length_b 3.288
_cell_length_c 4.988
_cell_angle_alpha 90.00
_cell_angle_beta 90.00
_cell_angle_gamma 90.00
loop_
_symmetry_equiv_pos_as_xyz
'x,y,z'
loop_
_atom_site_label
_atom_site_fract_x
_atom_site_fract_y
_atom_site_fract_z
H1 0.000 0.500 0.000
Si1 0.000 0.000 0.500
Si2 0.500 0.000 0.000
Rh1 0.500 0.500 0.500
Hg1 0.000 0.000 0.000
# VASP energy = -3.466 eV per atom

***

# CsNpAs2, relaxed, DFT PBE-GGA
data_CsNpAs2
_chemical_formula_sum 'Cs1 Np1 As2'
_symmetry_space_group_name_H-M 'P 1'
_symmetry_Int_Tables_number 1
_cell_length_a 3.912
_cell_length_b 3.912
_cell_length_c 7.699
_cell_angle_alpha 90.00
_cell_angle_beta 90.00
_cell_angle_gamma 90.00
loop_
_symmetry_equiv_pos_as_xyz
'x,y,z'
loop_
_atom_site_label
_atom_site_fract_x
_atom_site_fract_y
_atom_site_fract_z
Np1 0.500 0.500 0.000
Cs1 0.500 0.500 0.500
As1 0.000 0.000 0.836
As2 0.000 0.000 0.164
# Calculated formation energy = -424.5 meV/atom

***

# BaYBr2, relaxed, DFT PBE-GGA
data_BaYBr2
_chemical_formula_sum 'Ba1 Y1 Br2'
_symmetry_space_group_name_H-M 'P 1'
_symmetry_Int_Tables_number 1
_cell_length_a 4.135
_cell_length_b 4.134
_cell_length_c 7.905
_cell_angle_alpha 90.00
_cell_angle_beta 90.00
_cell_angle_gamma 90.00
loop_
_symmetry_equiv_pos_as_xyz
'x,y,z'
loop_
_atom_site_label
_atom_site_fract_x
_atom_site_fract_y
_atom_site_fract_z
Y1 0.000 0.000 0.403
Ba1 0.500 0.500 0.781
Br1 0.000 0.000 0.014
Br2 0.500 0.500 0.302
# Energy relative to the elements, uncorrected = -117.21 kJ per mole of atoms